{
  "formula": "Os3Br",
  "functional": "meta-GGA SCAN",
  "state": "PBEsol geometry",
  "lattice_angstrom": [[2.8081, 0.0000, 0.0000], [1.4041, 2.4319, 0.0000], [1.4041, 0.8106, 8.7648]],
  "species": ["Os", "Os", "Os", "Br"],
  "fractional_positions": [[0.7531, 0.7531, 0.7408], [0.2469, 0.2469, 0.2592], [0.5000, 0.5000, 0.5000], [0.0000, 0.0000, 0.0000]],
  "magmom_total_mub_per_atom": 0.00,
  "dos_at_fermi_per_ev_atom": 0.7559,
  "polymorph_energy_ev_per_atom": 0.000,
  "vol_a3_per_atom": 14.96,
  "sg": "No. 166"
}